(1)
A geometry-optimized Y4Ga5Si2 structure. Source: Alexandria, functional PBE.

Unit cell a=6.958 b=4.246 c=7.929 alpha=90.00 beta=90.69 gamma=90.00
Sites, in units of the cell vectors:
1 Y 0.220 0.000 0.364
2 Y 0.243 0.000 0.892
3 Y 0.757 0.000 0.108
4 Y 0.780 0.000 0.636
5 Ga 0.127 0.500 0.622
6 Ga 0.445 0.500 0.157
7 Ga 0.500 0.500 0.500
8 Ga 0.555 0.500 0.843
9 Ga 0.873 0.500 0.378
10 Si 0.083 0.500 0.129
11 Si 0.917 0.500 0.871

(2)
A geometry-optimized Nd5Y4 structure. Source: Alexandria, functional PBE.

Summary:
Formation energy from the elements (eV per atom): 0.01

Unit cell a=8.127 b=8.127 c=8.127 alpha=95.71 beta=95.71 gamma=143.24
Sites, in units of the cell vectors:
1 Nd 0.000 0.000 0.000
2 Nd 0.000 0.332 0.332
3 Nd 0.000 0.668 0.668
4 Nd 0.332 0.000 0.332
5 Nd 0.668 0.000 0.668
6 Y 0.333 0.333 0.667
7 Y 0.333 0.667 0.000
8 Y 0.667 0.333 0.000
9 Y 0.667 0.667 0.333

(3)
A geometry-optimized K2La2RuO6 structure. Source: Alexandria, functional PBE.

Unit cell a=6.024 b=6.024 c=6.573 alpha=96.89 beta=96.89 gamma=118.61
Sites, in units of the cell vectors:
1 K 0.154 0.846 0.000
2 K 0.846 0.154 0.000
3 La 0.335 0.665 0.500
4 La 0.665 0.335 0.500
5 Ru 0.000 0.000 0.500
6 O 0.042 0.348 0.672
7 O 0.225 0.225 0.322
8 O 0.348 0.042 0.672
9 O 0.652 0.958 0.328
10 O 0.775 0.775 0.678
11 O 0.958 0.652 0.328

(4)
A geometry-optimized Hf2CrSbMo structure. Source: Alexandria, functional PBE.

Unit cell a=5.020 b=5.020 c=5.110 alpha=90.00 beta=90.00 gamma=90.00
Sites, in units of the cell vectors:
1 Hf 0.000 0.500 0.000
2 Hf 0.500 0.000 0.000
3 Cr 0.000 0.000 0.500
4 Sb 0.500 0.500 0.500
5 Mo 0.500 0.500 0.000

(5)
A geometry-optimized Cd2Ga2Sn structure. Source: Alexandria, functional PBE.

Summary:
ΔE to the lowest computed polymorph (eV per atom): 0.0341
Formation energy from the elements (eV per atom): 0.09

Unit cell a=4.349 b=4.349 c=12.217 alpha=90.00 beta=90.00 gamma=90.00
Sites, in units of the cell vectors:
1 Cd 0.000 0.500 0.250
2 Cd 0.000 0.500 0.750
3 Cd 0.500 0.000 0.250
4 Cd 0.500 0.000 0.750
5 Ga 0.000 0.000 0.101
6 Ga 0.000 0.000 0.899
7 Ga 0.500 0.500 0.399
8 Ga 0.500 0.500 0.601
9 Sn 0.000 0.000 0.500
10 Sn 0.500 0.500 0.000

(6)
A geometry-optimized Pa2GaCo structure. Source: Alexandria, functional PBE.

Summary:
ΔE to the lowest computed polymorph (eV per atom): 0.0751
Formation energy from the elements (eV per atom): -0.19

Unit cell a=4.278 b=4.278 c=4.187 alpha=90.00 beta=90.00 gamma=90.00
Sites, in units of the cell vectors:
1 Pa 0.000 0.500 0.000
2 Pa 0.500 0.000 0.000
3 Ga 0.000 0.000 0.500
4 Co 0.500 0.500 0.500

(7)
A geometry-optimized PmPd5Pt2 structure. Source: Alexandria, functional PBE.

Summary:
Formation energy from the elements (eV per atom): -0.27

Unit cell a=3.882 b=7.873 c=9.656 alpha=90.00 beta=90.00 gamma=90.00
Sites, in units of the cell vectors:
1 Pm 0.000 0.000 0.000
2 Pm 0.500 0.500 0.500
3 Pd 0.000 0.182 0.355
4 Pd 0.000 0.182 0.645
5 Pd 0.000 0.500 0.000
6 Pd 0.000 0.818 0.355
7 Pd 0.000 0.818 0.645
8 Pd 0.500 0.000 0.500
9 Pd 0.500 0.318 0.145
10 Pd 0.500 0.318 0.855
11 Pd 0.500 0.682 0.145
12 Pd 0.500 0.682 0.855
13 Pt 0.000 0.500 0.277
14 Pt 0.000 0.500 0.723
15 Pt 0.500 0.000 0.223
16 Pt 0.500 0.000 0.777

(8)
A geometry-optimized CaOsRu structure. Source: Alexandria, functional PBE.

Summary:
ΔE to the lowest computed polymorph (eV per atom): 0.0273
Formation energy from the elements (eV per atom): 0.12

Unit cell a=5.196 b=5.355 c=5.359 alpha=89.21 beta=61.35 gamma=61.45
Sites, in units of the cell vectors:
1 Ca 0.000 0.000 0.000
2 Ca 0.500 0.251 0.749
3 Os 0.286 0.644 0.359
4 Os 0.785 0.610 0.392
5 Ru 0.257 0.120 0.370
6 Ru 0.757 0.622 0.867

| no. | magnetic moment (μB per formula unit) | total energy (eV per atom) |
| --- | --- | --- |
| 1 | 0.00 | -5.369 |
| 2 | 0.00 | -5.507 |
| 3 | 2.00 | -6.776 |
| 4 | 4.24 | -7.962 |
| 5 | 0.00 | -2.291 |
| 6 | 0.00 | -7.476 |
| 7 | 0.00 | -5.616 |
| 8 | 0.00 | -7.385 |